Below is a relaxed TiV3Se crystal, with properties calculated at the PBE-GGA level.

Its uncorrected energy is -32.7 eV/cell. The value obtained for the offset from the most stable computed form is 65.12 kJ per mole of atoms. The calculation puts the density of states at the Fermi level at 6.85 states/eV/f.u. The symmetry is Pm-3m, No. 221.

a b c (Å): 4.4632 4.4632 4.4632
angles (deg): 90.00 90.00 90.00
Fractional coordinates of all 5 atoms:
Ti 0.0000 0.0000 0.0000
V 0.5000 0.0000 0.0000
V 0.0000 0.0000 0.5000
V 0.0000 0.5000 0.0000
Se 0.5000 0.5000 0.5000

---

Below is a relaxed TiVSe4 crystal, with properties calculated at the PBE-GGA level.

Its uncorrected energy is -36.3 eV/cell. The calculation puts the density of states at the Fermi level at 3.34 states/eV/f.u. The symmetry is C2/m, No. 12.

a b c (Å): 3.4497 5.9933 7.4618
angles (deg): 66.67 76.66 90.00
Each line ends with the local moment (μB).
Fractional coordinates of all 6 atoms:
Ti 0.5000 0.5000 0.0000  0.12
Se 0.1186 0.4476 0.7624  -0.04
Se 0.6170 0.9539 0.7657  -0.06
Se 0.3830 0.0461 0.2343  -0.06
Se 0.8814 0.5524 0.2376  -0.04
V 0.0000 0.0000 0.0000  1.03

---

Below is a relaxed TiVSe2 crystal, with properties calculated at the PBE-GGA level.

Its uncorrected energy is -51.7 eV/cell. The value obtained for the offset from the most stable computed form is 16.22 kJ per mole of atoms. The calculation puts the density of states at the Fermi level at 4.46 states/eV/f.u. The symmetry is I-42d, No. 122.

a b c (Å): 5.8625 5.8625 7.0953
angles (deg): 65.60 65.60 90.00
Each line ends with the local moment (μB).
Fractional coordinates of all 8 atoms:
V 0.0000 0.0000 0.0000  2.63
V 0.7500 0.2500 0.5000  2.63
Ti 0.2500 0.7500 0.5000  1.52
Ti 0.5000 0.5000 0.0000  1.52
Se 0.3750 0.3715 0.7500  -0.08
Se 0.6285 0.1250 0.2500  -0.08
Se 0.1215 0.6250 0.2500  -0.08
Se 0.8750 0.8785 0.7500  -0.08

---

Below is a relaxed Ti4VSe8 crystal, with properties calculated at the PBE-GGA level.

Its uncorrected energy is -82.0 eV/cell. The calculation puts the density of states at the Fermi level at 8.15 states/eV/f.u. The symmetry is R-3m, No. 166.

a b c (Å): 7.4081 7.4081 7.4081
angles (deg): 57.84 57.84 57.84
Each line ends with the local moment (μB).
Fractional coordinates of all 13 atoms:
Se 0.2515 0.2515 0.2515  0.00
Se 0.7502 0.7502 0.2449  0.00
Se 0.2449 0.7502 0.7502  0.00
Se 0.7485 0.7485 0.7485  0.00
Se 0.2498 0.2498 0.7551  0.00
Se 0.2498 0.7551 0.2498  0.00
Se 0.7551 0.2498 0.2498  0.00
Se 0.7502 0.2449 0.7502  0.00
Ti 0.0000 0.0000 0.0000  -0.53
Ti 0.5000 0.0000 0.5000  -0.10
Ti 0.5000 0.5000 0.0000  -0.10
Ti 0.0000 0.5000 0.5000  -0.10
V 0.5000 0.5000 0.5000  2.04

---

Below is a relaxed Ti2VSe6 crystal, with properties calculated at the PBE-GGA level.

Its uncorrected energy is -105.5 eV/cell. The value obtained for the offset from the most stable computed form is 18.31 kJ per mole of atoms. The calculation puts the density of states at the Fermi level at 4.30 states/eV/f.u. The symmetry is P2_1/c, No. 14.

a b c (Å): 6.0600 6.3896 9.6626
angles (deg): 90.00 89.34 90.00
Each line ends with the local moment (μB).
Fractional coordinates of all 18 atoms:
Se 0.3184 0.8359 0.0802  -0.05
Se 0.8232 0.9558 0.2682  -0.08
Se 0.6816 0.1641 0.9198  -0.05
Se 0.6679 0.1888 0.5833  -0.05
Se 0.1768 0.0442 0.7318  -0.08
Se 0.8321 0.6888 0.9167  -0.05
Se 0.1679 0.3112 0.0833  -0.05
Se 0.1816 0.3359 0.4198  -0.05
Se 0.3232 0.5442 0.7682  -0.08
Se 0.6768 0.4558 0.2318  -0.08
Se 0.8184 0.6641 0.5802  -0.05
Se 0.3321 0.8112 0.4167  -0.05
Ti 0.5684 0.8691 0.7415  0.13
Ti 0.0684 0.6309 0.2415  0.13
Ti 0.9316 0.3691 0.7585  0.13
Ti 0.4316 0.1309 0.2585  0.13
V 0.5000 0.5000 0.0000  1.13
V 0.0000 0.0000 0.5000  1.13

---

Below is a relaxed Ti2VSe4 crystal, with properties calculated at the PBE-GGA level.

Its uncorrected energy is -41.4 eV/cell. The value obtained for the offset from the most stable computed form is 65.14 kJ per mole of atoms. The calculation puts the density of states at the Fermi level at 5.02 states/eV/f.u. The symmetry is I4/mmm, No. 139.

a b c (Å): 4.9753 4.9753 7.1796
angles (deg): 69.73 69.73 90.00
Each line ends with the local moment (μB).
Fractional coordinates of all 7 atoms:
Ti 0.6100 0.6100 0.7799  1.16
Ti 0.3900 0.3900 0.2201  1.16
Se 0.2008 0.2008 0.5984  -0.10
Se 0.0000 0.5000 0.0000  -0.07
Se 0.7992 0.7992 0.4016  -0.10
Se 0.5000 0.0000 0.0000  -0.07
V 0.0000 0.0000 0.0000  1.93

---

Below is a relaxed TiVSe2 crystal, with properties calculated at the PBE-GGA level.

Its uncorrected energy is -25.6 eV/cell. The value obtained for the offset from the most stable computed form is 22.80 kJ per mole of atoms. The calculation puts the density of states at the Fermi level at 3.18 states/eV/f.u. The symmetry is R-3m, No. 166.

a b c (Å): 8.4714 8.4714 8.4714
angles (deg): 23.55 23.55 23.55
Each line ends with the local moment (μB).
Fractional coordinates of all 4 atoms:
V 0.0000 0.0000 0.0000  2.72
Se 0.8984 0.8984 0.8984  -0.05
Se 0.1016 0.1016 0.1016  -0.05
Ti 0.5000 0.5000 0.5000  0.43

---

Below is a relaxed TiV2Se6 crystal, with properties calculated at the PBE-GGA level.

Its uncorrected energy is -106.4 eV/cell. The value obtained for the offset from the most stable computed form is 14.36 kJ per mole of atoms. The calculation puts the density of states at the Fermi level at 5.52 states/eV/f.u. The symmetry is P4_2/mnm, No. 136.

a b c (Å): 6.1031 6.1031 10.5247
angles (deg): 90.00 90.00 90.00
Each line ends with the local moment (μB).
Fractional coordinates of all 18 atoms:
Se 0.8069 0.1931 0.0000  -0.14
Se 0.7942 0.2058 0.3331  -0.12
Se 0.1931 0.8069 0.0000  -0.14
Se 0.7058 0.7058 0.8331  -0.12
Se 0.7942 0.2058 0.6669  -0.12
Se 0.2942 0.2942 0.1669  -0.12
Se 0.2058 0.7942 0.6669  -0.12
Se 0.2942 0.2942 0.8331  -0.12
Se 0.6931 0.6931 0.5000  -0.14
Se 0.3069 0.3069 0.5000  -0.14
Se 0.2058 0.7942 0.3331  -0.12
Se 0.7058 0.7058 0.1669  -0.12
Ti 0.5000 0.5000 0.0000  0.23
Ti 0.0000 0.0000 0.5000  0.23
V 0.5000 0.5000 0.3239  1.23
V 0.0000 0.0000 0.8239  1.23
V 0.5000 0.5000 0.6761  1.23
V 0.0000 0.0000 0.1761  1.23

---

Below is a relaxed Ti2VSe4 crystal, with properties calculated at the PBE-GGA level.

Its uncorrected energy is -45.9 eV/cell. The value obtained for the offset from the most stable computed form is 2.24 kJ per mole of atoms. The calculation puts the density of states at the Fermi level at 5.28 states/eV/f.u. The symmetry is Cm, No. 8.

a b c (Å): 6.9977 6.9977 6.3973
angles (deg): 63.79 63.79 29.07
Each line ends with the local moment (μB).
Fractional coordinates of all 7 atoms:
V 0.7472 0.7472 0.3014  1.44
Ti 0.9998 0.9998 0.9995  0.45
Ti 0.2527 0.2527 0.6989  -0.12
Se 0.3627 0.3627 0.9734  -0.03
Se 0.1113 0.1113 0.5467  -0.04
Se 0.6363 0.6363 0.0329  -0.02
Se 0.8900 0.8900 0.4471  -0.01

---

Below is a relaxed TiV3Se8 crystal, with properties calculated at the PBE-GGA level.

Its uncorrected energy is -72.6 eV/cell. The calculation puts the density of states at the Fermi level at 8.29 states/eV/f.u. The symmetry is C2/m, No. 12.

a b c (Å): 6.8004 6.8088 7.9377
angles (deg): 115.88 90.00 119.96
Each line ends with the local moment (μB).
Fractional coordinates of all 12 atoms:
V 0.5000 0.5000 0.0000  0.92
V 0.0000 0.5000 0.0000  0.92
V 0.5000 0.0000 0.0000  0.93
Ti 0.0000 0.0000 0.0000  0.20
Se 0.7433 0.4867 0.2265  -0.06
Se 0.7531 0.5062 0.7694  -0.05
Se 0.2567 0.5133 0.7735  -0.06
Se 0.7404 0.9873 0.2306  -0.05
Se 0.2469 0.4938 0.2306  -0.05
Se 0.2596 0.0127 0.7694  -0.05
Se 0.2469 0.9873 0.2306  -0.05
Se 0.7531 0.0127 0.7694  -0.05

---

Number 1: formation energy (no corrections) 587 kJ/mol of formula units. Number 2: formation energy (no corrections) -517 kJ/mol of formula units. Number 3: formation energy (no corrections) -182 kJ/mol of formula units. Number 4: formation energy (no corrections) -1296 kJ/mol of formula units. Number 5: formation energy (no corrections) -670 kJ/mol of formula units. Number 6: formation energy (no corrections) -245 kJ/mol of formula units. Number 7: formation energy (no corrections) -155 kJ/mol of formula units. Number 8: formation energy (no corrections) -593 kJ/mol of formula units. Number 9: formation energy (no corrections) -685 kJ/mol of formula units. Number 10: formation energy (no corrections) -916 kJ/mol of formula units.